# 1
# CaHo4Hg4

A relaxed structure of CaHo4Hg4 (GGA-PBE, Alexandria).

## Properties
formation enthalpy at 0 K: -247 meV per atom
V: 549.7 Å³/cell
mass density: 9.1 g cm⁻³

Cell: 5.2901 10.1934 10.1934 Å, 90.00 90.00 90.00°
With the nearest neighbours (Å) after each atom.
Sites, in units of the cell vectors:
Hg (0.5003, 0.6661, 0.7514)  4 Ho 3.03-3.04, 1 Ca 3.07, 2 Hg 3.15
Ca (0.5000, 0.5000, 0.5000)  4 Hg 3.07
Ho (0.0004, 0.4509, 0.1615)  4 Hg 3.03-3.04
Ho (0.0004, 0.5491, 0.8385)  4 Hg 3.03-3.04
Hg (0.4997, 0.2486, 0.6661)  4 Ho 3.03-3.04, 1 Ca 3.07, 2 Hg 3.15
Hg (0.4997, 0.7514, 0.3339)  4 Ho 3.03-3.04, 1 Ca 3.07, 2 Hg 3.15
Hg (0.0003, 0.7486, 0.1661)  4 Ho 3.03-3.04, 1 Ca 3.07, 2 Hg 3.15
Ho (0.4996, 0.0491, 0.3385)  4 Hg 3.03-3.04
Ho (0.5004, 0.3385, 0.9509)  4 Hg 3.03-3.04
Ho (0.4996, 0.9509, 0.6615)  4 Hg 3.03-3.04
Hg (0.5003, 0.3339, 0.2486)  4 Ho 3.03-3.04, 1 Ca 3.07, 2 Hg 3.15
Ca (0.0000, 0.0000, 0.0000)  4 Hg 3.07
Ho (0.9996, 0.1615, 0.5491)  4 Hg 3.03-3.04
Ho (0.5004, 0.6615, 0.0491)  4 Hg 3.03-3.04
Hg (0.0003, 0.2514, 0.8339)  4 Ho 3.03-3.04, 1 Ca 3.07, 2 Hg 3.15
Hg (0.9997, 0.1661, 0.2514)  4 Ho 3.03-3.04, 1 Ca 3.07, 2 Hg 3.15
Ho (0.9996, 0.8385, 0.4509)  4 Hg 3.03-3.04
Hg (0.9997, 0.8339, 0.7486)  4 Ho 3.03-3.04, 1 Ca 3.07, 2 Hg 3.15


# 2
# CaHoHg2

A relaxed structure of CaHoHg2 (GGA-PBE, Alexandria).

## Properties
formation enthalpy at 0 K: -529 meV per atom
V: 104.2 Å³/cell
mass density: 9.7 g cm⁻³

Cell: 5.2818 5.2818 5.2818 Å, 60.00 60.00 60.00°
With the nearest neighbours (Å) after each atom.
Sites, in units of the cell vectors:
Hg (0.5000, 0.5000, 0.5000)  4 Ca 3.23, 4 Ho 3.23
Ca (0.2500, 0.2500, 0.2500)  8 Hg 3.23
Ho (0.7500, 0.7500, 0.7500)  8 Hg 3.23
Hg (0.0000, 0.0000, 0.0000)  4 Ho 3.23, 4 Ca 3.23


# 3
# CaHoHg4

A relaxed structure of CaHoHg4 (GGA-PBE, Alexandria).

## Properties
formation enthalpy at 0 K: -214 meV per atom
V: 151.5 Å³/cell
excess energy over the best structure of this formula in the dataset: 195.5 meV/atom
mass density: 11.0 g cm⁻³

Cell: 5.9839 5.9839 5.9839 Å, 60.00 60.00 60.00°
With the nearest neighbours (Å) after each atom.
Sites, in units of the cell vectors:
Ho (0.0000, 0.0000, 0.0000)  12 Hg 3.51, 4 Ca 3.66
Ca (0.2500, 0.2500, 0.2500)  12 Hg 3.51, 4 Ho 3.66
Hg (0.6252, 0.1244, 0.6252)  6 Hg 2.99-3.00
Hg (0.6252, 0.6252, 0.6252)  6 Hg 2.99-3.00
Hg (0.6252, 0.6252, 0.1244)  6 Hg 2.99-3.00
Hg (0.1244, 0.6252, 0.6252)  6 Hg 2.99-3.00


# 4
# CaHo2Hg

A relaxed structure of CaHo2Hg (GGA-PBE, Alexandria).

## Properties
formation enthalpy at 0 K: -144 meV per atom
V: 125.6 Å³/cell
excess energy over the best structure of this formula in the dataset: 0.0 meV/atom
mass density: 7.5 g cm⁻³

Cell: 3.7206 3.7206 9.0767 Å, 90.00 90.00 90.00°
With the nearest neighbours (Å) after each atom.
Sites, in units of the cell vectors:
Ho (0.0000, 0.0000, 0.1953)  4 Hg 3.17, 1 Ho 3.55
Hg (0.5000, 0.5000, 0.0000)  8 Ho 3.17
Ho (0.0000, 0.0000, 0.8047)  4 Hg 3.17, 1 Ho 3.55
Ca (0.5000, 0.5000, 0.5000)  4 Ca 3.72, 8 Ho 3.82


# 5
# CaHo2Hg7

A relaxed structure of CaHo2Hg7 (GGA-PBE, Alexandria).

## Properties
formation enthalpy at 0 K: -286 meV per atom
V: 263.7 Å³/cell
mass density: 11.2 g cm⁻³

Cell: 5.0260 5.0260 12.0564 Å, 90.00 90.00 120.00°
With the nearest neighbours (Å) after each atom.
Sites, in units of the cell vectors:
Ho (0.3333, 0.6667, 0.6174)  5 Hg 2.89-3.17
Hg (0.3333, 0.6667, 0.3544)  4 Ho 3.00-3.17, 4 Hg 3.07-3.10
Hg (0.0000, 0.0000, 0.5343)  6 Ho 3.07-3.22, 1 Hg 3.27
Hg (0.3333, 0.6667, 0.8574)  1 Ho 2.89, 4 Hg 2.92-3.21, 3 Ca 3.18
Hg (0.0000, 0.0000, 0.2633)  7 Hg 3.10-3.31, 3 Ho 3.45
Hg (0.3333, 0.6667, 0.0999)  5 Hg 2.92-3.07
Hg (0.6667, 0.3333, 0.7429)  3 Hg 3.21, 3 Ho 3.27
Hg (0.6667, 0.3333, 0.1316)  3 Hg 2.93
Ho (0.6667, 0.3333, 0.4179)  6 Hg 3.00-3.22
Ca (0.0000, 0.0000, 0.9645)  9 Hg 3.18-3.53


# 6
# CaHo5Hg3

A relaxed structure of CaHo5Hg3 (GGA-PBE, Alexandria).

## Properties
formation enthalpy at 0 K: -314 meV per atom
V: 490.5 Å³/cell
mass density: 9.9 g cm⁻³

Cell: 6.9054 9.0563 9.0561 Å, 120.00 90.00 90.00°
With the nearest neighbours (Å) after each atom.
Sites, in units of the cell vectors:
Hg (0.2500, 0.6625, 0.6625)  3 Ho 2.99-3.03
Ho (0.7500, 0.3322, 0.0000)  3 Hg 2.99-3.03
Ho (0.2500, 0.6678, 0.0000)  3 Hg 2.99-3.03
Hg (0.7500, 0.3375, 0.3375)  3 Ho 2.99-3.03
Ho (0.2500, 0.3322, 0.3322)  3 Hg 2.99-3.03
Hg (0.7500, 0.6625, 0.0000)  3 Ho 2.99-3.03
Hg (0.2500, 0.0000, 0.3375)  3 Ho 2.99-3.03
Ca (0.5000, 0.0000, 0.0000)  2 Ca 3.45, 6 Ho 3.47, 6 Hg 3.51
Hg (0.2500, 0.3375, 0.0000)  3 Ho 2.99-3.03
Ho (0.5000, 0.3333, 0.6666)  8 Ho 3.45-3.48, 6 Hg 3.46
Ho (0.5000, 0.6667, 0.3334)  8 Ho 3.45-3.48, 6 Hg 3.46
Ho (0.0000, 0.6667, 0.3334)  8 Ho 3.45-3.48, 6 Hg 3.46
Ho (0.7500, 0.0000, 0.3322)  3 Hg 2.99-3.03
Ho (0.0000, 0.3333, 0.6666)  8 Ho 3.45-3.48, 6 Hg 3.46
Ho (0.7500, 0.6678, 0.6678)  3 Hg 2.99-3.03
Hg (0.7500, 0.0000, 0.6625)  3 Ho 2.99-3.03
Ho (0.2500, 0.0000, 0.6678)  3 Hg 2.99-3.03
Ca (0.0000, 0.0000, 0.0000)  2 Ca 3.45, 6 Ho 3.47, 6 Hg 3.51


# 7
# Ca2HoHg6

A relaxed structure of Ca2HoHg6 (GGA-PBE, Alexandria).

## Properties
formation enthalpy at 0 K: -424 meV per atom
V: 462.1 Å³/cell
mass density: 10.4 g cm⁻³

Cell: 5.4960 9.3539 9.3539 Å, 77.42 82.17 82.17°
With the nearest neighbours (Å) after each atom.
Sites, in units of the cell vectors:
Hg (0.3594, 0.9058, 0.6545)  1 Ho 3.16, 5 Hg 3.17-3.34, 4 Ca 3.18-3.35
Ho (0.7500, 0.8736, 0.1264)  10 Hg 3.14-3.30
Ho (0.2500, 0.1264, 0.8736)  10 Hg 3.14-3.30
Ca (0.4169, 0.5419, 0.7904)  10 Hg 3.15-3.38
Hg (0.6940, 0.2307, 0.9877)  5 Hg 3.14-3.32, 3 Ho 3.14-3.30, 2 Ca 3.23-3.38
Ca (0.9169, 0.7904, 0.5419)  10 Hg 3.15-3.38
Hg (0.3060, 0.7693, 0.0123)  5 Hg 3.14-3.32, 3 Ho 3.14-3.30, 2 Ca 3.23-3.38
Ca (0.0831, 0.2096, 0.4581)  10 Hg 3.15-3.38
Hg (0.9727, 0.4264, 0.6860)  4 Ca 3.15-3.37, 5 Hg 3.18-3.44, 1 Ho 3.27
Hg (0.8594, 0.6545, 0.9058)  1 Ho 3.16, 5 Hg 3.17-3.34, 4 Ca 3.18-3.35
Hg (0.4727, 0.6860, 0.4264)  4 Ca 3.15-3.37, 5 Hg 3.18-3.44, 1 Ho 3.27
Hg (0.0273, 0.5736, 0.3140)  4 Ca 3.15-3.37, 5 Hg 3.18-3.44, 1 Ho 3.27
Hg (0.1940, 0.9877, 0.2307)  5 Hg 3.14-3.32, 3 Ho 3.14-3.30, 2 Ca 3.23-3.38
Hg (0.6406, 0.0942, 0.3455)  1 Ho 3.16, 5 Hg 3.17-3.34, 4 Ca 3.18-3.35
Ca (0.5831, 0.4581, 0.2096)  10 Hg 3.15-3.38
Hg (0.8060, 0.0123, 0.7693)  5 Hg 3.14-3.32, 3 Ho 3.14-3.30, 2 Ca 3.23-3.38
Hg (0.1406, 0.3455, 0.0942)  1 Ho 3.16, 5 Hg 3.17-3.34, 4 Ca 3.18-3.35
Hg (0.5273, 0.3140, 0.5736)  4 Ca 3.15-3.37, 5 Hg 3.18-3.44, 1 Ho 3.27


# 8
# Ca2HoHg5

A relaxed structure of Ca2HoHg5 (GGA-PBE, Alexandria).

## Properties
formation enthalpy at 0 K: -437 meV per atom
V: 203.1 Å³/cell
mass density: 10.2 g cm⁻³

Cell: 5.2790 5.2790 8.1883 Å, 108.81 108.81 90.00°
With the nearest neighbours (Å) after each atom.
Sites, in units of the cell vectors:
Ca (0.2598, 0.2598, 0.5195)  9 Hg 3.15-3.50
Hg (0.1217, 0.6217, 0.2434)  4 Ca 3.15-3.32, 2 Hg 3.18, 2 Ho 3.18
Hg (0.5000, 0.5000, 0.0000)  8 Hg 3.18, 2 Ca 3.50
Ho (0.0000, 0.0000, 0.0000)  8 Hg 3.18
Ca (0.7402, 0.7402, 0.4805)  9 Hg 3.15-3.50
Hg (0.6217, 0.1217, 0.2434)  4 Ca 3.15-3.32, 2 Ho 3.18, 2 Hg 3.18
Hg (0.8783, 0.3783, 0.7566)  4 Ca 3.15-3.32, 2 Hg 3.18, 2 Ho 3.18
Hg (0.3783, 0.8783, 0.7566)  4 Ca 3.15-3.32, 2 Ho 3.18, 2 Hg 3.18


# 9
# CaHoHg6

A relaxed structure of CaHoHg6 (GGA-PBE, Alexandria).

## Properties
formation enthalpy at 0 K: -334 meV per atom
V: 199.4 Å³/cell
excess energy over the best structure of this formula in the dataset: 21.0 meV/atom
mass density: 11.7 g cm⁻³

Cell: 4.6679 4.6679 9.1501 Å, 90.00 90.00 90.00°
With the nearest neighbours (Å) after each atom.
Sites, in units of the cell vectors:
Hg (0.0000, 0.5000, 0.7551)  8 Hg 3.24-3.30, 2 Ho 3.24, 2 Ca 3.30
Hg (0.0000, 0.5000, 0.2449)  8 Hg 3.24-3.30, 2 Ho 3.24, 2 Ca 3.30
Ca (0.0000, 0.0000, 0.5000)  12 Hg 3.30
Hg (0.5000, 0.0000, 0.2449)  2 Ho 3.24, 8 Hg 3.24-3.30, 2 Ca 3.30
Hg (0.5000, 0.5000, 0.5000)  4 Ca 3.30, 8 Hg 3.30
Hg (0.5000, 0.0000, 0.7551)  8 Hg 3.24-3.30, 2 Ho 3.24, 2 Ca 3.30
Ho (0.0000, 0.0000, 0.0000)  12 Hg 3.24-3.30
Hg (0.5000, 0.5000, 0.0000)  8 Hg 3.24, 4 Ho 3.30


# 10
# Ca4HoHg5

A relaxed structure of Ca4HoHg5 (GGA-PBE, Alexandria).

## Properties
formation enthalpy at 0 K: -542 meV per atom
V: 267.8 Å³/cell
mass density: 8.2 g cm⁻³

Cell: 3.7683 3.7683 18.8572 Å, 90.00 90.00 90.00°
With the nearest neighbours (Å) after each atom.
Sites, in units of the cell vectors:
Ca (0.0000, 0.0000, 0.3986)  8 Hg 3.27-3.28
Hg (0.5000, 0.5000, 0.0935)  4 Ho 3.20, 4 Ca 3.30, 1 Hg 3.53
Ca (0.0000, 0.0000, 0.6014)  8 Hg 3.27-3.28
Hg (0.5000, 0.5000, 0.5000)  8 Ca 3.28
Ca (0.0000, 0.0000, 0.1971)  8 Hg 3.28-3.30
Hg (0.5000, 0.5000, 0.7019)  8 Ca 3.27-3.28
Ho (0.0000, 0.0000, 0.0000)  8 Hg 3.20
Hg (0.5000, 0.5000, 0.2981)  8 Ca 3.27-3.28
Hg (0.5000, 0.5000, 0.9065)  4 Ho 3.20, 4 Ca 3.30, 1 Hg 3.53
Ca (0.0000, 0.0000, 0.8029)  8 Hg 3.28-3.30